The following is a GGA+U calculation of an optimized crystal structure of MgCr2BrO, from the Alexandria database.

The structure in POSCAR format:
```
MgCr2BrO
1.0
4.858 0.000 0.000
0.000 4.858 0.000
0.000 0.000 4.007
Mg Cr Br O
1 2 1 1
Cartesian
0.000 0.000 0.000
0.000 2.429 2.003
2.429 0.000 2.003
2.429 2.429 0.000
0.000 0.000 2.003
```

Computed properties:
Total moment: 10.21 Bohr magnetons per cell
Space group: P4/mmm, No. 123
N(E_F): 1.6 states/eV per cell
Total energy: -5.1369 eV/atom